A plane-wave DFT calculation with PBE-GGA was carried out for a relaxed structure of CdPW4C2.

CIF file:
```
data_CdPW4C2
_chemical_formula_sum 'Cd1 P1 W4 C2'
_space_group_name_H-M_alt 'P -6 m 2'
_space_group_IT_number 187
_space_group_name_Hall 'P -6 2'
_cell_length_a 3.1221
_cell_length_b 3.1221
_cell_length_c 13.0713
_cell_angle_alpha 90.00
_cell_angle_beta 90.00
_cell_angle_gamma 120.00
loop_
_atom_site_label
_atom_site_fract_x
_atom_site_fract_y
_atom_site_fract_z
_atom_site_occupancy
Cd1 0.0000 0.0000 0.0000 1
P1 0.6667 0.3333 0.5000 1
W1 0.0000 0.0000 0.3658 1
W2 0.6667 0.3333 0.1881 1
C1 0.3333 0.6667 0.2702 1
```

---

A plane-wave DFT calculation with PBE-GGA was carried out for a relaxed structure of Y4CdPC2.

CIF file:
```
data_Y4CdPC2
_chemical_formula_sum 'Y4 Cd1 P1 C2'
_space_group_name_H-M_alt 'P -6 m 2'
_space_group_IT_number 187
_space_group_name_Hall 'P -6 2'
_cell_length_a 3.6959
_cell_length_b 3.6959
_cell_length_c 14.6032
_cell_angle_alpha 90.00
_cell_angle_beta 90.00
_cell_angle_gamma 120.00
loop_
_atom_site_label
_atom_site_fract_x
_atom_site_fract_y
_atom_site_fract_z
_atom_site_occupancy
Y1 0.0000 0.0000 0.1268 1
Y2 0.6667 0.3333 0.3123 1
Cd1 0.0000 0.0000 0.5000 1
P1 0.6667 0.3333 0.0000 1
C1 0.3333 0.6667 0.2311 1
```

---

A plane-wave DFT calculation with PBE-GGA was carried out for a relaxed structure of Y4CdPC2.

CIF file:
```
data_Y4CdPC2
_chemical_formula_sum 'Y4 Cd1 P1 C2'
_space_group_name_H-M_alt 'P -6 m 2'
_space_group_IT_number 187
_space_group_name_Hall 'P -6 2'
_cell_length_a 3.6977
_cell_length_b 3.6977
_cell_length_c 14.5732
_cell_angle_alpha 90.00
_cell_angle_beta 90.00
_cell_angle_gamma 120.00
loop_
_atom_site_label
_atom_site_fract_x
_atom_site_fract_y
_atom_site_fract_z
_atom_site_occupancy
Y1 0.0000 0.0000 0.1270 1
Y2 0.3333 0.6667 0.3129 1
Cd1 0.0000 0.0000 0.5000 1
P1 0.3333 0.6667 0.0000 1
C1 0.6667 0.3333 0.2316 1
```

---

| no. | E (Ry/atom) |
| --- | --- |
| 1 | -0.6945 |
| 2 | -0.5040 |
| 3 | -0.5040 |